Run i
Computed, not measured: crystalline TlSi2Hg at its relaxed geometry at the PBE level of DFT.

It has space group Imm2 (No. 44), with a = 3.675 Å, b = 4.243 Å, c = 12.069 Å, α = 90.00°, β = 90.00° and γ = 90.00°. The asymmetric unit holds Tl at (0.000, 0.000, 0.000), Si at (0.000, 0.000, 0.612), Si at (0.000, 0.500, 0.240) and Hg at (0.000, 0.500, 0.799).

---

Run ii
Computed, not measured: crystalline TlSi2Hg at its relaxed geometry at the PBE level of DFT.

It has space group I-4m2 (No. 119), with a = 4.446 Å, b = 4.446 Å, c = 8.905 Å, α = 90.00°, β = 90.00° and γ = 90.00°. The asymmetric unit holds Tl at (0.000, 0.000, 0.000), Si at (0.000, 0.000, 0.500), Si at (0.000, 0.500, 0.250) and Hg at (0.000, 0.500, 0.750).

---

Run iii
Computed, not measured: crystalline TlSi2Hg at its relaxed geometry at the PBE level of DFT.

It has space group F-43m (No. 216), with a = 7.053 Å, b = 7.053 Å, c = 7.053 Å, α = 90.00°, β = 90.00° and γ = 90.00°. The asymmetric unit holds Tl at (0.000, 0.000, 0.000), Si at (0.000, 0.000, 0.500), Si at (0.250, 0.250, 0.750) and Hg at (0.250, 0.250, 0.250).

---

Run iv
Computed, not measured: crystalline TlSi2Hg at its relaxed geometry at the PBE level of DFT.

It has space group Cmmm (No. 65), with a = 3.280 Å, b = 5.386 Å, c = 10.027 Å, α = 90.00°, β = 90.00° and γ = 90.00°. The asymmetric unit holds Tl at (0.000, 0.000, 0.000), Si at (0.000, 0.500, 0.270) and Hg at (0.000, 0.000, 0.500).

---

Which of them is least stable? Easy: run ii.

---

Run i
Computed, not measured: crystalline TlSi2Hg at its relaxed geometry at the PBE level of DFT.

It has space group P4/mmm (No. 123), with a = 3.136 Å, b = 3.136 Å, c = 8.930 Å, α = 90.00°, β = 90.00° and γ = 90.00°. The asymmetric unit holds Tl at (0.000, 0.000, 0.000), Si at (0.500, 0.500, 0.272) and Hg at (0.000, 0.000, 0.500).

---

Run ii
Computed, not measured: crystalline TlSi2Hg at its relaxed geometry at the PBE level of DFT.

It has space group Pm (No. 6), with a = 3.406 Å, b = 3.410 Å, c = 8.305 Å, α = 90.00°, β = 98.91° and γ = 90.00°. The asymmetric unit holds Tl at (0.000, 0.000, 0.000), Si at (0.109, 0.500, 0.681), Si at (0.583, 0.000, 0.618) and Hg at (0.519, 0.500, 0.317).

---

Which of them is least stable? Easy: run i.

---

Run i
Computed, not measured: crystalline TlSi2Hg at its relaxed geometry at the PBE level of DFT.

It has space group P4mm (No. 99), with a = 3.436 Å, b = 3.436 Å, c = 8.135 Å, α = 90.00°, β = 90.00° and γ = 90.00°. The asymmetric unit holds Tl at (0.000, 0.000, 0.000), Si at (0.000, 0.000, 0.649), Si at (0.500, 0.500, 0.597) and Hg at (0.500, 0.500, 0.271).

---

Run ii
Computed, not measured: crystalline TlSi2Hg at its relaxed geometry at the PBE level of DFT.

It has space group I-42d (No. 122), with a = 5.149 Å, b = 5.149 Å, c = 15.595 Å, α = 90.00°, β = 90.00° and γ = 90.00°. The asymmetric unit holds Tl at (0.000, 0.000, 0.000), Si at (0.212, 0.250, 0.625) and Hg at (0.000, 0.000, 0.500).

---

Which of them is least stable? Easy: run ii.

---

Run i
Computed, not measured: crystalline TlSi2Hg at its relaxed geometry at the PBE level of DFT.

It has space group C2/m (No. 12), with a = 11.470 Å, b = 3.801 Å, c = 8.147 Å, α = 90.00°, β = 131.56° and γ = 90.00°. The asymmetric unit holds Tl at (0.000, 0.000, 0.000), Si at (0.173, 0.500, 0.408) and Hg at (0.000, 0.500, 0.500).

---

Run ii
Computed, not measured: crystalline TlSi2Hg at its relaxed geometry at the PBE level of DFT.

It has space group Fmmm (No. 69), with a = 5.728 Å, b = 6.005 Å, c = 10.312 Å, α = 90.00°, β = 90.00° and γ = 90.00°. The asymmetric unit holds Tl at (0.000, 0.000, 0.000), Si at (0.000, 0.250, 0.250) and Hg at (0.000, 0.000, 0.500).

---

Run iii
Computed, not measured: crystalline TlSi2Hg at its relaxed geometry at the PBE level of DFT.

It has space group Cm (No. 8), with a = 6.649 Å, b = 3.824 Å, c = 8.228 Å, α = 90.00°, β = 91.74° and γ = 90.00°. The asymmetric unit holds Tl at (0.000, 0.000, 0.000), Si at (0.141, 0.500, 0.290), Si at (0.311, 0.000, 0.381) and Hg at (0.314, 0.000, 0.703).

---

Which of them is least stable? Easy: run ii.

---

Run i
Computed, not measured: crystalline TlSi2Hg at its relaxed geometry at the PBE level of DFT.

It has space group R-3m (No. 166, hexagonal axes), with a = 3.0984 Å, b = 3.0984 Å, c = 32.0876 Å, α = 90.00°, β = 90.00° and γ = 120.00°. The asymmetric unit holds Tl at (0.0000, 0.0000, 0.0000), Si at (0.0000, 0.0000, 0.2445) and Hg at (0.0000, 0.0000, 0.5000).

---

Run ii
Computed, not measured: crystalline TlSi2Hg at its relaxed geometry at the PBE level of DFT.

It has space group P2/m (No. 10), with a = 3.818 Å, b = 5.052 Å, c = 5.227 Å, α = 90.00°, β = 92.78° and γ = 90.00°. The asymmetric unit holds Tl at (0.000, 0.000, 0.000), Si at (0.255, 0.500, 0.639) and Hg at (0.500, 0.000, 0.500).

---

Which of them is least stable? Easy: run i.

---

Run i
Computed, not measured: crystalline TlSi2Hg at its relaxed geometry at the PBE level of DFT.

It has space group P4/mmm (No. 123), with a = 3.687 Å, b = 3.687 Å, c = 6.908 Å, α = 90.00°, β = 90.00° and γ = 90.00°. The asymmetric unit holds Tl at (0.000, 0.000, 0.000), Si at (0.500, 0.500, 0.322) and Hg at (0.000, 0.000, 0.500).

---

Run ii
Computed, not measured: crystalline TlSi2Hg at its relaxed geometry at the PBE level of DFT.

It has space group Fm-3m (No. 225), with a = 7.058 Å, b = 7.058 Å, c = 7.058 Å, α = 90.00°, β = 90.00° and γ = 90.00°. The asymmetric unit holds Tl at (0.000, 0.000, 0.000), Si at (0.250, 0.250, 0.250) and Hg at (0.000, 0.000, 0.500).

---

Which of them is least stable? Easy: run ii.

---

Run i
Computed, not measured: crystalline TlSiHg3 at its relaxed geometry at the PBE level of DFT.

It has space group Pm-3m (No. 221), with a = 5.253 Å, b = 5.253 Å, c = 5.253 Å, α = 90.00°, β = 90.00° and γ = 90.00°. The asymmetric unit holds Tl at (0.000, 0.000, 0.000), Si at (0.500, 0.500, 0.500) and Hg at (0.000, 0.500, 0.500).

---

Run ii
Computed, not measured: crystalline TlSiHg3 at its relaxed geometry at the PBE level of DFT.

It has space group Pm-3m (No. 221), with a = 5.761 Å, b = 5.761 Å, c = 5.761 Å, α = 90.00°, β = 90.00° and γ = 90.00°. The asymmetric unit holds Tl at (0.000, 0.000, 0.000), Si at (0.500, 0.500, 0.500) and Hg at (0.000, 0.000, 0.500).

---

Which of them is least stable? Easy: run ii.

---

Run i
Computed, not measured: crystalline Tl2SiHg at its relaxed geometry at the PBE level of DFT.

It has space group Cm (No. 8), with a = 12.895 Å, b = 3.227 Å, c = 5.527 Å, α = 90.00°, β = 115.10° and γ = 90.00°. The asymmetric unit holds Tl at (0.000, 0.000, 0.000), Tl at (0.204, 0.000, 0.701), Si at (0.479, 0.000, 0.481) and Hg at (0.276, 0.500, 0.273).

---

Run ii
Computed, not measured: crystalline Tl2SiHg at its relaxed geometry at the PBE level of DFT.

It has space group F-43m (No. 216), with a = 7.453 Å, b = 7.453 Å, c = 7.453 Å, α = 90.00°, β = 90.00° and γ = 90.00°. The asymmetric unit holds Tl at (0.000, 0.000, 0.000), Tl at (0.250, 0.250, 0.250), Si at (0.250, 0.250, 0.750) and Hg at (0.000, 0.000, 0.500).

---

Run iii
Computed, not measured: crystalline Tl2SiHg at its relaxed geometry at the PBE level of DFT.

It has space group Pmmm (No. 47), with a = 3.525 Å, b = 5.260 Å, c = 5.576 Å, α = 90.00°, β = 90.00° and γ = 90.00°. The asymmetric unit holds Tl at (0.000, 0.000, 0.000), Tl at (0.500, 0.000, 0.500), Si at (0.000, 0.500, 0.500) and Hg at (0.500, 0.500, 0.000).

---

Which of them is least stable? Easy: run iii.

---

Run i
Computed, not measured: crystalline Tl2SiHg at its relaxed geometry at the PBE level of DFT.

It has space group Immm (No. 71), with a = 3.513 Å, b = 4.357 Å, c = 14.403 Å, α = 90.00°, β = 90.00° and γ = 90.00°. The asymmetric unit holds Tl at (0.000, 0.000, 0.179), Si at (0.000, 0.500, 0.500) and Hg at (0.000, 0.500, 0.000).

---

Run ii
Computed, not measured: crystalline Tl2SiHg at its relaxed geometry at the PBE level of DFT.

It has space group Cmmm (No. 65), with a = 7.728 Å, b = 7.836 Å, c = 3.431 Å, α = 90.00°, β = 90.00° and γ = 90.00°. The asymmetric unit holds Tl at (0.250, 0.250, 0.000), Si at (0.000, 0.000, 0.500) and Hg at (0.000, 0.500, 0.500).

---

Run iii
Computed, not measured: crystalline Tl2SiHg at its relaxed geometry at the PBE level of DFT.

It has space group R-3m (No. 166, hexagonal axes), with a = 3.4562 Å, b = 3.4562 Å, c = 30.9855 Å, α = 90.00°, β = 90.00° and γ = 120.00°. The asymmetric unit holds Tl at (0.0000, 0.0000, 0.2423), Si at (0.0000, 0.0000, 0.5000) and Hg at (0.0000, 0.0000, 0.0000).

---

Which of them is least stable? Easy: run iii.

---

Run i
Computed, not measured: crystalline Tl2SiHg at its relaxed geometry at the PBE level of DFT.

It has space group Cmm2 (No. 35), with a = 4.707 Å, b = 5.371 Å, c = 8.336 Å, α = 90.00°, β = 90.00° and γ = 90.00°. The asymmetric unit holds Tl at (0.000, 0.000, 0.000), Tl at (0.000, 0.500, 0.321), Si at (0.000, 0.500, 0.759) and Hg at (0.000, 0.000, 0.587).

---

Run ii
Computed, not measured: crystalline Tl2SiHg at its relaxed geometry at the PBE level of DFT.

It has space group Fm-3m (No. 225), with a = 7.473 Å, b = 7.473 Å, c = 7.473 Å, α = 90.00°, β = 90.00° and γ = 90.00°. The asymmetric unit holds Tl at (0.250, 0.250, 0.250), Si at (0.000, 0.000, 0.000) and Hg at (0.000, 0.000, 0.500).

---

Which of them is least stable? Easy: run ii.

---

Run i
Computed, not measured: crystalline Tl2SiHg at its relaxed geometry at the PBE level of DFT.

It has space group Pmm2 (No. 25), with a = 3.466 Å, b = 3.661 Å, c = 8.198 Å, α = 90.00°, β = 90.00° and γ = 90.00°. The asymmetric unit holds Tl at (0.000, 0.000, 0.000), Tl at (0.500, 0.500, 0.318), Si at (0.500, 0.500, 0.758) and Hg at (0.000, 0.000, 0.586).

---

Run ii
Computed, not measured: crystalline Tl2SiHg at its relaxed geometry at the PBE level of DFT.

It has space group I-42d (No. 122), with a = 9.409 Å, b = 9.409 Å, c = 5.294 Å, α = 90.00°, β = 90.00° and γ = 90.00°. The asymmetric unit holds Tl at (0.158, 0.750, 0.125), Si at (0.000, 0.000, 0.000) and Hg at (0.000, 0.000, 0.500).

---

Run iii
Computed, not measured: crystalline Tl2SiHg at its relaxed geometry at the PBE level of DFT.

It has space group C2/m (No. 12), with a = 6.780 Å, b = 10.366 Å, c = 3.101 Å, α = 90.00°, β = 106.59° and γ = 90.00°. The asymmetric unit holds Tl at (0.250, 0.250, 0.000), Si at (0.000, 0.000, 0.500) and Hg at (0.000, 0.500, 0.500).

---

Which of them is least stable? Easy: run iii.